No. 1
# La5Tc2O12 (PBE-GGA, relaxed)
data_La5Tc2O12
_cell_length_a 13.1093
_cell_length_b 5.8318
_cell_length_c 7.9914
_cell_angle_alpha 90.00
_cell_angle_beta 107.89
_cell_angle_gamma 90.00
_symmetry_space_group_name_H-M 'C 1 2/m 1'
_symmetry_Int_Tables_number 12
_symmetry_space_group_name_Hall '-C 2y'
loop_
_atom_site_label
_atom_site_type_symbol
_atom_site_fract_x
_atom_site_fract_y
_atom_site_fract_z
La1 La 0.0000 0.0000 0.0000
La2 La 0.1840 0.5000 0.3301
La3 La 0.1898 0.5000 0.8534
Tc1 Tc 0.0000 0.2130 0.5000
O1 O 0.0011 0.0000 0.6946
O2 O 0.0011 0.5000 0.6635
O3 O 0.1560 0.2506 0.0783
O4 O 0.1572 0.2443 0.5767
# Crystal system: monoclinic
# Energy relative to the elements, uncorrected (eV per atom): -2.834

***

No. 2
# Na2Hf3I9 (PBE-GGA, relaxed)
data_Na2Hf3I9
_cell_length_a 11.0782
_cell_length_b 18.9399
_cell_length_c 10.9991
_cell_angle_alpha 90.00
_cell_angle_beta 112.66
_cell_angle_gamma 90.00
_symmetry_space_group_name_H-M 'C 1 2/m 1'
_symmetry_Int_Tables_number 12
_symmetry_space_group_name_Hall '-C 2y'
loop_
_atom_site_label
_atom_site_type_symbol
_atom_site_fract_x
_atom_site_fract_y
_atom_site_fract_z
Na1 Na 0.1249 0.1623 0.3703
Hf1 Hf 0.1270 0.4142 0.1331
Hf2 Hf 0.1422 0.5000 0.8683
I1 I 0.0000 0.2880 0.0000
I2 I 0.0013 0.3944 0.3171
I3 I 0.1792 0.1067 0.9808
I4 I 0.1807 0.0000 0.6699
I5 I 0.1867 0.0000 0.2935
I6 I 0.1897 0.2046 0.6698
# Crystal system: monoclinic
# Energy relative to the elements, uncorrected (eV per atom): -0.849

***

No. 3
# Tb5SmSc (PBE-GGA, relaxed)
data_Tb5SmSc
_cell_length_a 9.2434
_cell_length_b 3.5728
_cell_length_c 13.7361
_cell_angle_alpha 90.00
_cell_angle_beta 103.19
_cell_angle_gamma 90.00
_symmetry_space_group_name_H-M 'P 1 21/m 1'
_symmetry_Int_Tables_number 11
_symmetry_space_group_name_Hall '-P 2yb'
loop_
_atom_site_label
_atom_site_type_symbol
_atom_site_fract_x
_atom_site_fract_y
_atom_site_fract_z
Tb1 Tb 0.0107 0.2500 0.3725
Tb2 Tb 0.2007 0.7500 0.8823
Tb3 Tb 0.3326 0.7500 0.5069
Tb4 Tb 0.3481 0.2500 0.7208
Tb5 Tb 0.4167 0.2500 0.0821
Sm1 Sm 0.1122 0.7500 0.1330
Sc1 Sc 0.3501 0.2500 0.3063
# Crystal system: monoclinic

***

No. 4
# Zr2NiSb (PBE-GGA, relaxed)
data_Zr2NiSb
_cell_length_a 3.1451
_cell_length_b 3.1451
_cell_length_c 7.9478
_cell_angle_alpha 90.00
_cell_angle_beta 90.00
_cell_angle_gamma 90.00
_symmetry_space_group_name_H-M 'P 4/m m m'
_symmetry_Int_Tables_number 123
_symmetry_space_group_name_Hall '-P 4 2'
loop_
_atom_site_label
_atom_site_type_symbol
_atom_site_fract_x
_atom_site_fract_y
_atom_site_fract_z
Zr1 Zr 0.0000 0.0000 0.2132
Ni1 Ni 0.5000 0.5000 0.0000
Sb1 Sb 0.5000 0.5000 0.5000
# Crystal system: tetragonal
# Energy relative to the elements, uncorrected (eV per atom): -0.304

***

No. 5
# SrSc2Fe (PBE-GGA, relaxed)
data_SrSc2Fe
_cell_length_a 4.5687
_cell_length_b 3.6308
_cell_length_c 13.1040
_cell_angle_alpha 90.00
_cell_angle_beta 90.00
_cell_angle_gamma 90.00
_symmetry_space_group_name_H-M 'A m m 2'
_symmetry_Int_Tables_number 38
_symmetry_space_group_name_Hall 'A 2 -2'
loop_
_atom_site_label
_atom_site_type_symbol
_atom_site_fract_x
_atom_site_fract_y
_atom_site_fract_z
Sr1 Sr 0.0000 0.0000 0.0000
Sc1 Sc 0.0000 0.0000 0.7205
Sc2 Sc 0.5000 0.0000 0.2953
Fe1 Fe 0.5000 0.0000 0.6508
# Crystal system: orthorhombic

***

No. 6
# K2CaInTe4 (PBE-GGA, relaxed)
data_K2CaInTe4
_cell_length_a 8.4207
_cell_length_b 8.4207
_cell_length_c 8.0373
_cell_angle_alpha 90.00
_cell_angle_beta 90.00
_cell_angle_gamma 90.00
_symmetry_space_group_name_H-M 'I -4 2 m'
_symmetry_Int_Tables_number 121
_symmetry_space_group_name_Hall 'I -4 2'
loop_
_atom_site_label
_atom_site_type_symbol
_atom_site_fract_x
_atom_site_fract_y
_atom_site_fract_z
K1 K 0.0000 0.5000 0.0000
Ca1 Ca 0.0000 0.0000 0.0000
In1 In 0.0000 0.0000 0.5000
Te1 Te 0.1862 0.1862 0.2762
# Crystal system: tetragonal
# Energy relative to the elements, uncorrected (eV per atom): -0.850

***

Volume across the listed records, respectively: 15.30, 38.03, 31.55, 19.65, 27.17, 35.62 Å³ per atom.
Total moment across the listed records, respectively: 0.0540, 0.1443, 0.0001, 0.0000, 0.0973, 0.0000 μB per atom.
Calculated total energy across the listed records, respectively: -317.42, -233.35, -67.42, -28.22, -42.99, -52.60 eV/cell.